i) Crystalline ZrNbAsO at its relaxed geometry. Source: OQMD, functional PBE-GGA. Values from VASP.

```
&SYSTEM
  ibrav = 0, nat = 8, ntyp = 4
/
ATOMIC_SPECIES
As 74.92 As.upf
Zr 91.22 Zr.upf
O 16.00 O.upf
Nb 92.91 Nb.upf
ATOMIC_POSITIONS crystal
As 0.0000 0.6729 0.3046
Zr 0.0000 0.0941 0.4226
O 0.5000 0.7220 0.9217
O 0.5000 0.2780 0.4217
As 0.0000 0.3271 0.8046
Nb 0.5000 0.6018 0.6051
Nb 0.5000 0.3982 0.1051
Zr 0.0000 0.9059 0.9226
CELL_PARAMETERS angstrom
-0.2797 1.9840 2.9029
2.4167 -4.4138 3.2496
5.8035 2.3878 -1.0728
```

Output
total magnetization = 0.0 μB per formula unit
symmetry = No. 26



ii) Crystalline ZrNbAsO at its relaxed geometry. Source: OQMD, functional PBE-GGA. Values from VASP.

```
&SYSTEM
  ibrav = 0, nat = 8, ntyp = 4
/
ATOMIC_SPECIES
As 74.92 As.upf
Zr 91.22 Zr.upf
O 16.00 O.upf
Nb 92.91 Nb.upf
ATOMIC_POSITIONS crystal
As 0.0000 0.8881 0.2909
Zr 0.5000 0.2131 0.1156
O 0.5000 0.4520 0.4092
Nb 0.0000 0.3851 0.4382
As 0.0000 0.1119 0.7909
Zr 0.5000 0.7869 0.6156
Nb 0.0000 0.6149 0.9382
O 0.5000 0.5480 0.9092
CELL_PARAMETERS angstrom
4.1970 0.0000 0.0000
0.0000 5.0544 0.0000
0.0000 0.0000 6.1930
```

Output
total magnetization = 0.0 μB per formula unit
symmetry = No. 26



iii) Crystalline ZrNbAsO at its relaxed geometry. Source: OQMD, functional PBE-GGA. Values from VASP.

```
&SYSTEM
  ibrav = 0, nat = 8, ntyp = 4
/
ATOMIC_SPECIES
Zr 91.22 Zr.upf
As 74.92 As.upf
Nb 92.91 Nb.upf
O 16.00 O.upf
ATOMIC_POSITIONS crystal
Zr 0.7500 0.7500 0.8604
As 0.2500 0.2500 0.7207
As 0.7500 0.7500 0.2793
Zr 0.2500 0.2500 0.1396
Nb 0.2500 0.7500 0.5000
Nb 0.7500 0.2500 0.5000
O 0.7500 0.2500 0.0000
O 0.2500 0.7500 0.0000
CELL_PARAMETERS angstrom
-2.0105 -1.3874 2.9389
-1.7205 -2.4775 -2.3466
6.2248 -5.7742 1.5325
```

Output
total magnetization = 0.0 μB per formula unit
symmetry = No. 129



The least stable of them is i).



i) Crystalline NbSbAs at its relaxed geometry. Source: OQMD, functional PBE-GGA. Values from VASP.

```
&SYSTEM
  ibrav = 0, nat = 3, ntyp = 3
/
ATOMIC_SPECIES
Sb 121.76 Sb.upf
As 74.92 As.upf
Nb 92.91 Nb.upf
ATOMIC_POSITIONS crystal
Sb 0.7500 0.7500 0.7500
As 0.0000 0.0000 0.0000
Nb 0.2500 0.2500 0.2500
CELL_PARAMETERS angstrom
-1.1291 -2.0749 3.9319
0.8423 2.0662 4.0077
-3.4746 1.6079 2.5263
```

Output
total magnetization = 0.5 μB per formula unit
symmetry = No. 216



ii) Crystalline NbSbAs at its relaxed geometry. Source: OQMD, functional PBE-GGA. Values from VASP.

```
&SYSTEM
  ibrav = 0, nat = 3, ntyp = 3
/
ATOMIC_SPECIES
Nb 92.91 Nb.upf
As 74.92 As.upf
Sb 121.76 Sb.upf
ATOMIC_POSITIONS crystal
Nb 0.0000 0.0000 0.0000
As 0.2500 0.2500 0.2500
Sb 0.7500 0.7500 0.7500
CELL_PARAMETERS angstrom
-3.2967 2.6386 1.9470
-2.8377 -1.8141 3.2060
0.3865 1.2976 4.4484
```

Output
total magnetization = 0.6 μB per formula unit
symmetry = No. 216



The least stable of them is i).



i) Crystalline NbSiAs at its relaxed geometry. Source: OQMD, functional PBE-GGA. Values from VASP.

```
&SYSTEM
  ibrav = 0, nat = 3, ntyp = 3
/
ATOMIC_SPECIES
As 74.92 As.upf
Nb 92.91 Nb.upf
Si 28.09 Si.upf
ATOMIC_POSITIONS crystal
As 0.2500 0.2500 0.2500
Nb 0.0000 0.0000 0.0000
Si 0.7500 0.7500 0.7500
CELL_PARAMETERS angstrom
0.0000 3.1007 3.1007
3.1007 0.0000 3.1007
3.1007 3.1007 0.0000
```

Output
total magnetization = 0.0 μB per formula unit
symmetry = No. 216



ii) Crystalline NbSiAs at its relaxed geometry. Source: OQMD, functional PBE-GGA. Values from VASP.

```
&SYSTEM
  ibrav = 0, nat = 12, ntyp = 3
/
ATOMIC_SPECIES
Si 28.09 Si.upf
As 74.92 As.upf
Nb 92.91 Nb.upf
ATOMIC_POSITIONS crystal
Si 0.1137 0.2500 0.5827
Si 0.3863 0.7500 0.0827
As 0.3637 0.7500 0.4093
As 0.1363 0.2500 0.9093
Nb 0.3754 0.7500 0.7485
As 0.8637 0.7500 0.0907
Si 0.8863 0.7500 0.4173
Si 0.6137 0.2500 0.9173
As 0.6363 0.2500 0.5907
Nb 0.1246 0.2500 0.2485
Nb 0.6246 0.2500 0.2515
Nb 0.8754 0.7500 0.7515
CELL_PARAMETERS angstrom
6.7540 0.0000 0.0000
0.0000 3.3691 0.0000
0.0000 0.0000 8.3261
```

Output
total magnetization = 0.0 μB per formula unit
symmetry = No. 62



The least stable of them is i).



i) Crystalline NbSiAs at its relaxed geometry. Source: OQMD, functional PBE-GGA. Values from VASP.

```
&SYSTEM
  ibrav = 0, nat = 3, ntyp = 3
/
ATOMIC_SPECIES
Nb 92.91 Nb.upf
As 74.92 As.upf
Si 28.09 Si.upf
ATOMIC_POSITIONS crystal
Nb 0.7500 0.7500 0.7500
As 0.2500 0.2500 0.2500
Si 0.0000 0.0000 0.0000
CELL_PARAMETERS angstrom
0.0000 3.0479 3.0479
3.0479 0.0000 3.0479
3.0479 3.0479 0.0000
```

Output
total magnetization = 0.0 μB per formula unit
symmetry = No. 216



ii) Crystalline NbSiAs at its relaxed geometry. Source: OQMD, functional PBE-GGA. Values from VASP.

```
&SYSTEM
  ibrav = 0, nat = 6, ntyp = 3
/
ATOMIC_SPECIES
Nb 92.91 Nb.upf
As 74.92 As.upf
Si 28.09 Si.upf
ATOMIC_POSITIONS crystal
Nb 0.0000 0.0000 0.7463
As 0.0000 0.0000 0.3887
Nb 0.5000 0.5000 0.2537
Si 0.5000 0.0000 0.9998
As 0.5000 0.5000 0.6117
Si 0.0000 0.5000 0.9998
CELL_PARAMETERS angstrom
3.5134 0.0000 0.0000
0.0000 3.5134 0.0000
0.0000 0.0000 7.9604
```

Output
total magnetization = 0.0 μB per formula unit
symmetry = No. 129



The least stable of them is i).



i) Crystalline SmNbAs at its relaxed geometry. Source: OQMD, functional PBE-GGA. Values from VASP.

```
&SYSTEM
  ibrav = 0, nat = 3, ntyp = 3
/
ATOMIC_SPECIES
Nb 92.91 Nb.upf
Sm 150.36 Sm.upf
As 74.92 As.upf
ATOMIC_POSITIONS crystal
Nb 0.7500 0.7500 0.7500
Sm 0.0000 0.0000 0.0000
As 0.2500 0.2500 0.2500
CELL_PARAMETERS angstrom
0.0000 3.4680 3.4680
3.4680 0.0000 3.4680
3.4680 3.4680 0.0000
```

Output
total magnetization = 4.0 μB per formula unit
symmetry = No. 216



ii) Crystalline SmNbAs at its relaxed geometry. Source: OQMD, functional PBE-GGA. Values from VASP.

```
&SYSTEM
  ibrav = 0, nat = 3, ntyp = 3
/
ATOMIC_SPECIES
Nb 92.91 Nb.upf
Sm 150.36 Sm.upf
As 74.92 As.upf
ATOMIC_POSITIONS crystal
Nb 0.2500 0.2500 0.2500
Sm 0.7500 0.7500 0.7500
As 0.0000 0.0000 0.0000
CELL_PARAMETERS angstrom
0.2629 -2.8125 3.6769
-3.7407 -0.7136 2.6452
-2.1385 -4.1135 -0.0700
```

Output
total magnetization = 0.3 μB per formula unit
symmetry = No. 216



The least stable of them is i).



i) Crystalline NbTcAs at its relaxed geometry. Source: OQMD, functional PBE-GGA. Values from VASP.

```
&SYSTEM
  ibrav = 0, nat = 3, ntyp = 3
/
ATOMIC_SPECIES
Tc 98.00 Tc.upf
As 74.92 As.upf
Nb 92.91 Nb.upf
ATOMIC_POSITIONS crystal
Tc 0.7500 0.7500 0.7500
As 0.2500 0.2500 0.2500
Nb 0.0000 0.0000 0.0000
CELL_PARAMETERS angstrom
-3.4452 1.4676 2.1327
-0.2162 4.1474 1.1508
-2.7860 2.6382 -1.9621
```

Output
total magnetization = 0.0 μB per formula unit
symmetry = No. 216



ii) Crystalline NbTcAs at its relaxed geometry. Source: OQMD, functional PBE-GGA. Values from VASP.

```
&SYSTEM
  ibrav = 0, nat = 3, ntyp = 3
/
ATOMIC_SPECIES
Tc 98.00 Tc.upf
Nb 92.91 Nb.upf
As 74.92 As.upf
ATOMIC_POSITIONS crystal
Tc 0.0000 0.0000 0.0000
Nb 0.7500 0.7500 0.7500
As 0.2500 0.2500 0.2500
CELL_PARAMETERS angstrom
-3.4610 -1.3026 2.1220
-3.5534 -1.0067 -2.1303
-1.2521 -4.0676 -0.2558
```

Output
total magnetization = 0.0 μB per formula unit
symmetry = No. 216



The least stable of them is i).



i) Crystalline NdNiSnAsPd at its relaxed geometry. Source: OQMD, functional PBE-GGA. Values from VASP.

```
&SYSTEM
  ibrav = 0, nat = 10, ntyp = 5
/
ATOMIC_SPECIES
Sn 118.71 Sn.upf
Pd 106.42 Pd.upf
As 74.92 As.upf
Nd 144.24 Nd.upf
Ni 58.69 Ni.upf
ATOMIC_POSITIONS crystal
Sn 0.0000 0.5000 0.8485
Sn 0.5000 0.0000 0.1515
Pd 0.5000 0.5000 0.0000
As 0.5000 0.5000 0.5000
Nd 0.0000 0.5000 0.2722
Pd 0.0000 0.0000 0.0000
Ni 0.5000 0.0000 0.4059
Nd 0.5000 0.0000 0.7278
Ni 0.0000 0.5000 0.5941
As 0.0000 0.0000 0.5000
CELL_PARAMETERS angstrom
-0.0978 2.1625 -3.8698
-0.5000 -3.8514 -2.1396
-9.9342 0.8778 0.7416
```

Output
total magnetization = 0.0 μB per formula unit
symmetry = No. 129



ii) Crystalline NdNiSnAsPd at its relaxed geometry. Source: OQMD, functional PBE-GGA. Values from VASP.

```
&SYSTEM
  ibrav = 0, nat = 10, ntyp = 5
/
ATOMIC_SPECIES
Sn 118.71 Sn.upf
Ni 58.69 Ni.upf
Pd 106.42 Pd.upf
As 74.92 As.upf
Nd 144.24 Nd.upf
ATOMIC_POSITIONS crystal
Sn 0.0000 0.5000 0.8802
Ni 0.0000 0.0000 0.0000
Pd 0.0000 0.5000 0.6132
Ni 0.5000 0.5000 0.0000
Sn 0.5000 0.0000 0.1198
As 0.5000 0.5000 0.5000
As 0.0000 0.0000 0.5000
Nd 0.5000 0.0000 0.7447
Nd 0.0000 0.5000 0.2553
Pd 0.5000 0.0000 0.3868
CELL_PARAMETERS angstrom
4.5266 0.0000 0.0000
0.0000 4.5266 0.0000
0.0000 0.0000 9.9169
```

Output
total magnetization = 0.0 μB per formula unit
symmetry = No. 129



The least stable of them is ii).



i) Crystalline NdAsO4 at its relaxed geometry. Source: OQMD, functional PBE-GGA. Values from VASP.

```
&SYSTEM
  ibrav = 0, nat = 12, ntyp = 3
/
ATOMIC_SPECIES
Nd 144.24 Nd.upf
O 16.00 O.upf
As 74.92 As.upf
ATOMIC_POSITIONS crystal
Nd 0.7500 0.2500 0.5000
O 0.6709 0.2839 0.1121
O 0.1718 0.5588 0.8879
O 0.0339 0.4218 0.1129
O 0.3088 0.9209 0.8871
O 0.5782 0.6912 0.6121
O 0.4412 0.3291 0.6129
O 0.0791 0.9661 0.3879
O 0.7161 0.8282 0.3871
As 0.2500 0.7500 0.5000
As 0.5000 0.5000 0.0000
Nd 0.0000 0.0000 0.0000
CELL_PARAMETERS angstrom
-2.5581 2.5581 5.7966
2.5581 -2.5581 5.7966
2.5581 2.5581 -5.7966
```

Output
total magnetization = 0.0 μB per formula unit
symmetry = No. 88



ii) Crystalline NdAsO4 at its relaxed geometry. Source: OQMD, functional PBE-GGA. Values from VASP.

```
&SYSTEM
  ibrav = 0, nat = 24, ntyp = 3
/
ATOMIC_SPECIES
O 16.00 O.upf
Nd 144.24 Nd.upf
As 74.92 As.upf
ATOMIC_POSITIONS crystal
O 0.0026 0.3452 0.1059
Nd 0.5966 0.8479 0.7800
O 0.6668 0.1079 0.0153
O 0.5771 0.5054 0.7492
As 0.8870 0.1624 0.1977
Nd 0.4034 0.1521 0.2200
O 0.4229 0.4946 0.2508
O 0.9229 0.0054 0.7508
O 0.9974 0.6548 0.8941
Nd 0.9034 0.3479 0.7200
As 0.6130 0.6624 0.3022
As 0.3870 0.3376 0.6978
O 0.5026 0.1548 0.6059
O 0.2735 0.2863 0.8862
O 0.7735 0.2137 0.3862
O 0.8332 0.6079 0.4847
As 0.1130 0.8376 0.8022
O 0.2265 0.7863 0.6138
O 0.3332 0.8921 0.9847
O 0.4974 0.8452 0.3941
O 0.7265 0.7137 0.1138
O 0.0771 0.9946 0.2492
Nd 0.0966 0.6521 0.2800
O 0.1668 0.3921 0.5153
CELL_PARAMETERS angstrom
-0.7559 -5.5242 -3.6996
1.6712 -3.9971 5.6270
-6.2347 1.2024 2.7059
```

Output
total magnetization = 0.0 μB per formula unit
symmetry = No. 14



The least stable of them is ii).



i) Crystalline NdAs2O at its relaxed geometry. Source: OQMD, functional PBE-GGA. Values from VASP.

```
&SYSTEM
  ibrav = 0, nat = 8, ntyp = 3
/
ATOMIC_SPECIES
O 16.00 O.upf
As 74.92 As.upf
Nd 144.24 Nd.upf
ATOMIC_POSITIONS crystal
O 0.5000 0.7754 0.8185
As 0.0000 0.2254 0.9207
As 0.5000 0.6355 0.5629
Nd 0.0000 0.7409 0.9519
As 0.5000 0.3645 0.0629
Nd 0.0000 0.2591 0.4519
As 0.0000 0.7746 0.4207
O 0.5000 0.2246 0.3185
CELL_PARAMETERS angstrom
4.3824 0.0000 0.0000
0.0000 6.2950 0.0000
0.0000 0.0000 6.4571
```

Output
total magnetization = 0.0 μB per formula unit
symmetry = No. 26



ii) Crystalline NdAs2O at its relaxed geometry. Source: OQMD, functional PBE-GGA. Values from VASP.

```
&SYSTEM
  ibrav = 0, nat = 8, ntyp = 3
/
ATOMIC_SPECIES
As 74.92 As.upf
O 16.00 O.upf
Nd 144.24 Nd.upf
ATOMIC_POSITIONS crystal
As 0.7500 0.7500 0.3229
O 0.7500 0.2500 0.0000
O 0.2500 0.7500 0.0000
Nd 0.7500 0.7500 0.8823
As 0.2500 0.2500 0.6771
Nd 0.2500 0.2500 0.1177
As 0.2500 0.7500 0.5000
As 0.7500 0.2500 0.5000
CELL_PARAMETERS angstrom
4.3570 0.0000 0.0000
0.0000 4.3570 0.0000
0.0000 0.0000 8.5297
```

Output
total magnetization = 0.0 μB per formula unit
symmetry = No. 129



iii) Crystalline NdAs2O at its relaxed geometry. Source: OQMD, functional PBE-GGA. Values from VASP.

```
&SYSTEM
  ibrav = 0, nat = 8, ntyp = 3
/
ATOMIC_SPECIES
As 74.92 As.upf
O 16.00 O.upf
Nd 144.24 Nd.upf
ATOMIC_POSITIONS crystal
As 0.5000 0.0000 0.6438
O 0.5000 0.5000 0.0000
As 0.0000 0.0000 0.5000
As 0.0000 0.5000 0.3562
Nd 0.0000 0.5000 0.8809
Nd 0.5000 0.0000 0.1191
O 0.0000 0.0000 0.0000
As 0.5000 0.5000 0.5000
CELL_PARAMETERS angstrom
4.7032 0.0000 0.0000
0.0000 4.7032 0.0000
0.0000 0.0000 6.8761
```

Output
total magnetization = 0.0 μB per formula unit
symmetry = No. 129



The least stable of them is i).



i) Crystalline NdAsPO at its relaxed geometry. Source: OQMD, functional PBE-GGA. Values from VASP.

```
&SYSTEM
  ibrav = 0, nat = 8, ntyp = 4
/
ATOMIC_SPECIES
O 16.00 O.upf
P 30.97 P.upf
As 74.92 As.upf
Nd 144.24 Nd.upf
ATOMIC_POSITIONS crystal
O 0.5000 0.9180 0.3024
P 0.0000 0.3745 0.4244
O 0.5000 0.0820 0.8024
As 0.0000 0.6826 0.5524
Nd 0.5000 0.1847 0.4748
Nd 0.5000 0.8153 0.9748
As 0.0000 0.3174 0.0524
P 0.0000 0.6255 0.9244
CELL_PARAMETERS angstrom
5.2435 0.0000 0.0000
0.0000 6.9043 0.0000
0.0000 0.0000 6.1050
```

Output
total magnetization = 0.0 μB per formula unit
symmetry = No. 26



ii) Crystalline NdAsPO at its relaxed geometry. Source: OQMD, functional PBE-GGA. Values from VASP.

```
&SYSTEM
  ibrav = 0, nat = 8, ntyp = 4
/
ATOMIC_SPECIES
Nd 144.24 Nd.upf
P 30.97 P.upf
O 16.00 O.upf
As 74.92 As.upf
ATOMIC_POSITIONS crystal
Nd 0.7500 0.7500 0.8760
P 0.2500 0.2500 0.6276
O 0.2500 0.7500 0.0000
Nd 0.2500 0.2500 0.1240
P 0.7500 0.7500 0.3723
O 0.7500 0.2500 0.0000
As 0.7500 0.2500 0.5000
As 0.2500 0.7500 0.5000
CELL_PARAMETERS angstrom
-0.6775 2.1233 -4.0205
-1.9239 -3.8169 -1.6916
-6.0845 2.1170 2.1433
```

Output
total magnetization = 0.0 μB per formula unit
symmetry = No. 129



The least stable of them is i).



i) Crystalline NdAsPO at its relaxed geometry. Source: OQMD, functional PBE-GGA. Values from VASP.

```
&SYSTEM
  ibrav = 0, nat = 8, ntyp = 4
/
ATOMIC_SPECIES
O 16.00 O.upf
As 74.92 As.upf
Nd 144.24 Nd.upf
P 30.97 P.upf
ATOMIC_POSITIONS crystal
O 0.7500 0.2500 0.0000
As 0.2500 0.2500 0.9983
Nd 0.7500 0.2500 0.5000
As 0.7500 0.7500 0.0017
O 0.2500 0.7500 0.0000
P 0.7500 0.7500 0.5000
P 0.2500 0.2500 0.5000
Nd 0.2500 0.7500 0.5000
CELL_PARAMETERS angstrom
-4.9072 2.7651 0.2408
-0.1926 -0.8273 5.5734
2.3481 4.1068 0.6907
```

Output
total magnetization = 0.0 μB per formula unit
symmetry = No. 129



ii) Crystalline NdAsPO at its relaxed geometry. Source: OQMD, functional PBE-GGA. Values from VASP.

```
&SYSTEM
  ibrav = 0, nat = 8, ntyp = 4
/
ATOMIC_SPECIES
P 30.97 P.upf
O 16.00 O.upf
Nd 144.24 Nd.upf
As 74.92 As.upf
ATOMIC_POSITIONS crystal
P 0.0000 0.2653 0.4262
O 0.5000 0.2919 0.8143
O 0.5000 0.7081 0.3143
Nd 0.0000 0.2526 0.9581
As 0.5000 0.8573 0.0553
As 0.5000 0.1427 0.5553
Nd 0.0000 0.7474 0.4581
P 0.0000 0.7347 0.9262
CELL_PARAMETERS angstrom
-2.6945 -0.9531 3.2386
4.7885 -0.5442 3.8238
-0.4447 6.0988 1.4249
```

Output
total magnetization = 0.0 μB per formula unit
symmetry = No. 26



The least stable of them is i).